No. 1
# SrNdHgPb | the Alexandria database | GGA-PBE | optimized geometry
# Excess energy over the best structure of this formula in the dataset ... 0.000 eV per atom
# E_form ... -0.5088 eV per atom
data_SrNdHgPb
_chemical_formula_sum 'Sr1 Nd1 Hg1 Pb1'
_cell_length_a 3.938
_cell_length_b 3.938
_cell_length_c 8.101
_cell_angle_alpha 90.00
_cell_angle_beta 90.00
_cell_angle_gamma 90.00
_symmetry_space_group_name_H-M 'P 4 m m'
_symmetry_Int_Tables_number 99
_symmetry_space_group_name_Hall 'P 4 -2'
loop_
_atom_site_label
_atom_site_fract_x
_atom_site_fract_y
_atom_site_fract_z
Sr1 0.000 0.000 0.000
Nd1 0.000 0.000 0.522
Hg1 0.500 0.500 0.744
Pb1 0.500 0.500 0.273


No. 2
# SrNdHgPb | the Alexandria database | GGA-PBE | optimized geometry
# Excess energy over the best structure of this formula in the dataset ... 0.018 eV per atom
# E_form ... -0.4904 eV per atom
data_SrNdHgPb
_chemical_formula_sum 'Sr4 Nd4 Hg4 Pb4'
_cell_length_a 7.949
_cell_length_b 7.949
_cell_length_c 7.949
_cell_angle_alpha 90.00
_cell_angle_beta 90.00
_cell_angle_gamma 90.00
_symmetry_space_group_name_H-M 'F -4 3 m'
_symmetry_Int_Tables_number 216
_symmetry_space_group_name_Hall 'F -4 2 3'
loop_
_atom_site_label
_atom_site_fract_x
_atom_site_fract_y
_atom_site_fract_z
Sr1 0.000 0.000 0.000
Nd1 0.000 0.000 0.500
Hg1 0.250 0.250 0.750
Pb1 0.250 0.250 0.250


No. 3
# TbNdHgPb | the Alexandria database | GGA-PBE | optimized geometry
# E_form ... -0.4827 eV per atom
data_TbNdHgPb
_chemical_formula_sum 'Tb4 Nd4 Hg4 Pb4'
_cell_length_a 7.678
_cell_length_b 7.678
_cell_length_c 7.678
_cell_angle_alpha 90.00
_cell_angle_beta 90.00
_cell_angle_gamma 90.00
_symmetry_space_group_name_H-M 'F -4 3 m'
_symmetry_Int_Tables_number 216
_symmetry_space_group_name_Hall 'F -4 2 3'
loop_
_atom_site_label
_atom_site_fract_x
_atom_site_fract_y
_atom_site_fract_z
Tb1 0.000 0.000 0.000
Nd1 0.000 0.000 0.500
Hg1 0.250 0.250 0.750
Pb1 0.250 0.250 0.250


No. 4
# Nd6Hg2Te3Pb | the Alexandria database | GGA-PBE | optimized geometry
# Total energy ... -53.794 eV per formula unit
data_Nd6Hg2Te3Pb
_chemical_formula_sum 'Nd12 Hg4 Te6 Pb2'
_cell_length_a 20.112
_cell_length_b 4.428
_cell_length_c 9.175
_cell_angle_alpha 90.00
_cell_angle_beta 108.69
_cell_angle_gamma 90.00
_symmetry_space_group_name_H-M 'C 1 2/m 1'
_symmetry_Int_Tables_number 12
_symmetry_space_group_name_Hall '-C 2y'
loop_
_atom_site_label
_atom_site_fract_x
_atom_site_fract_y
_atom_site_fract_z
Nd1 0.004 0.000 0.251
Nd2 0.163 0.500 0.603
Nd3 0.169 0.500 0.103
Hg1 0.178 0.000 0.367
Te1 0.000 0.500 0.500
Te2 0.163 0.000 0.850
Pb1 0.000 0.500 0.000


No. 5
# NdThHgPb | the Alexandria database | GGA-PBE | optimized geometry
# E_form ... -0.3268 eV per atom
data_NdThHgPb
_chemical_formula_sum 'Nd4 Th4 Hg4 Pb4'
_cell_length_a 7.778
_cell_length_b 7.778
_cell_length_c 7.778
_cell_angle_alpha 90.00
_cell_angle_beta 90.00
_cell_angle_gamma 90.00
_symmetry_space_group_name_H-M 'F -4 3 m'
_symmetry_Int_Tables_number 216
_symmetry_space_group_name_Hall 'F -4 2 3'
loop_
_atom_site_label
_atom_site_fract_x
_atom_site_fract_y
_atom_site_fract_z
Nd1 0.000 0.000 0.000
Th1 0.000 0.000 0.500
Hg1 0.250 0.250 0.250
Pb1 0.250 0.250 0.750


No. 6
# NdTlHgPb | the Alexandria database | GGA-PBE | optimized geometry
# Excess energy over the best structure of this formula in the dataset ... 0.000 eV per atom
# E_form ... -0.3758 eV per atom
data_NdTlHgPb
_chemical_formula_sum 'Nd1 Tl1 Hg1 Pb1'
_cell_length_a 4.717
_cell_length_b 4.775
_cell_length_c 4.920
_cell_angle_alpha 90.00
_cell_angle_beta 90.00
_cell_angle_gamma 90.00
_symmetry_space_group_name_H-M 'P m m m'
_symmetry_Int_Tables_number 47
_symmetry_space_group_name_Hall '-P 2 2'
loop_
_atom_site_label
_atom_site_fract_x
_atom_site_fract_y
_atom_site_fract_z
Nd1 0.000 0.000 0.000
Tl1 0.500 0.000 0.500
Hg1 0.000 0.500 0.500
Pb1 0.500 0.500 0.000


No. 7
# NdTlHgPb | the Alexandria database | GGA-PBE | optimized geometry
# Excess energy over the best structure of this formula in the dataset ... 0.133 eV per atom
# E_form ... -0.2432 eV per atom
data_NdTlHgPb
_chemical_formula_sum 'Nd4 Tl4 Hg4 Pb4'
_cell_length_a 7.726
_cell_length_b 7.726
_cell_length_c 7.726
_cell_angle_alpha 90.00
_cell_angle_beta 90.00
_cell_angle_gamma 90.00
_symmetry_space_group_name_H-M 'F -4 3 m'
_symmetry_Int_Tables_number 216
_symmetry_space_group_name_Hall 'F -4 2 3'
loop_
_atom_site_label
_atom_site_fract_x
_atom_site_fract_y
_atom_site_fract_z
Nd1 0.000 0.000 0.000
Tl1 0.250 0.250 0.750
Hg1 0.250 0.250 0.250
Pb1 0.000 0.000 0.500


No. 8
# Nd2YHg2Pb2 | the Alexandria database | GGA-PBE | optimized geometry
# E_form ... -0.2406 eV per atom
data_Nd2YHg2Pb2
_chemical_formula_sum 'Nd6 Y3 Hg6 Pb6'
_cell_length_a 5.1026
_cell_length_b 5.1026
_cell_length_c 27.5523
_cell_angle_alpha 90.00
_cell_angle_beta 90.00
_cell_angle_gamma 120.00
_symmetry_space_group_name_H-M 'R -3 m'
_symmetry_Int_Tables_number 166
_symmetry_space_group_name_Hall '-R 3 2"'
loop_
_atom_site_label
_atom_site_fract_x
_atom_site_fract_y
_atom_site_fract_z
Nd1 0.0000 0.0000 0.1300
Y1 0.0000 0.0000 0.0000
Hg1 0.0000 0.0000 0.4309
Pb1 0.0000 0.0000 0.2765


No. 9
# NdZrHgPb | the Alexandria database | GGA-PBE | optimized geometry
# E_form ... -0.2176 eV per atom
data_NdZrHgPb
_chemical_formula_sum 'Nd4 Zr4 Hg4 Pb4'
_cell_length_a 7.464
_cell_length_b 7.464
_cell_length_c 7.464
_cell_angle_alpha 90.00
_cell_angle_beta 90.00
_cell_angle_gamma 90.00
_symmetry_space_group_name_H-M 'F -4 3 m'
_symmetry_Int_Tables_number 216
_symmetry_space_group_name_Hall 'F -4 2 3'
loop_
_atom_site_label
_atom_site_fract_x
_atom_site_fract_y
_atom_site_fract_z
Nd1 0.000 0.000 0.000
Zr1 0.000 0.000 0.500
Hg1 0.250 0.250 0.250
Pb1 0.250 0.250 0.750


No. 10
# NdHg2Pd3 | the Alexandria database | GGA-PBE | optimized geometry
# E_form ... -0.4906 eV per atom
data_NdHg2Pd3
_chemical_formula_sum 'Nd2 Hg4 Pd6'
_cell_length_a 4.7474
_cell_length_b 4.7474
_cell_length_c 12.4468
_cell_angle_alpha 90.00
_cell_angle_beta 90.00
_cell_angle_gamma 120.00
_symmetry_space_group_name_H-M 'P 63/m m c'
_symmetry_Int_Tables_number 194
_symmetry_space_group_name_Hall '-P 6c 2c'
loop_
_atom_site_label
_atom_site_fract_x
_atom_site_fract_y
_atom_site_fract_z
Nd1 0.0000 0.0000 0.2500
Hg1 0.3333 0.6667 0.0906
Pd1 0.0000 0.0000 0.0000
Pd2 0.3333 0.6667 0.6350


No. 11
# Nd2HgPd | the Alexandria database | GGA-PBE | optimized geometry
# Excess energy over the best structure of this formula in the dataset ... 0.010 eV per atom
# E_form ... -0.6011 eV per atom
data_Nd2HgPd
_chemical_formula_sum 'Nd2 Hg1 Pd1'
_cell_length_a 3.702
_cell_length_b 3.702
_cell_length_c 7.582
_cell_angle_alpha 90.00
_cell_angle_beta 90.00
_cell_angle_gamma 90.00
_symmetry_space_group_name_H-M 'P 4/m m m'
_symmetry_Int_Tables_number 123
_symmetry_space_group_name_Hall '-P 4 2'
loop_
_atom_site_label
_atom_site_fract_x
_atom_site_fract_y
_atom_site_fract_z
Nd1 0.000 0.000 0.230
Hg1 0.500 0.500 0.500
Pd1 0.500 0.500 0.000


No. 12
# Nd8HgPd2 | the Alexandria database | GGA-PBE | optimized geometry
# Excess energy over the best structure of this formula in the dataset ... 0.090 eV per atom
# E_form ... -0.2585 eV per atom
data_Nd8HgPd2
_chemical_formula_sum 'Nd16 Hg2 Pd4'
_cell_length_a 8.818
_cell_length_b 13.988
_cell_length_c 5.741
_cell_angle_alpha 90.00
_cell_angle_beta 106.96
_cell_angle_gamma 90.00
_symmetry_space_group_name_H-M 'C 1 m 1'
_symmetry_Int_Tables_number 8
_symmetry_space_group_name_Hall 'C -2y'
loop_
_atom_site_label
_atom_site_fract_x
_atom_site_fract_y
_atom_site_fract_z
Nd1 0.000 0.000 0.000
Nd2 0.099 0.378 0.766
Nd3 0.181 0.122 0.610
Nd4 0.280 0.500 0.376
Nd5 0.389 0.238 0.188
Hg1 0.390 0.000 0.190
Pd1 0.390 0.299 0.689